## Na2CoSiCO7 (GGA-PBEsol)

Data for a geometry-optimized Na2CoSiCO7 structure.

The value obtained for the formation energy without anion corrections is -1.7225 eV/atom.

It has space group P2_1/m (No. 11), with a = 5.097 Å, b = 6.253 Å, c = 8.916 Å, α = 90.00°, β = 92.77° and γ = 90.00°. The distinct sites, in fractional coordinates, are Na at (0.242, 0.015, 0.255), Co at (0.208, 0.250, 0.841), Si at (0.286, 0.750, 0.932), C at (0.277, 0.250, 0.582), O at (0.047, 0.250, 0.641), O at (0.123, 0.750, 0.084), O at (0.212, 0.544, 0.823), O at (0.314, 0.250, 0.445), O at (0.394, 0.250, 0.028) and O at (0.465, 0.250, 0.688).

---

## BaAsPd2 (GGA-PBEsol)

Data for a geometry-optimized BaAsPd2 structure.

As for the energy of formation: -641 meV/atom.

It has space group I4_1/amd (No. 141, origin choice 2), with a = 5.147 Å, b = 5.147 Å, c = 16.196 Å, α = 90.00°, β = 90.00° and γ = 90.00°. The distinct sites, in fractional coordinates, are Ba at (0.000, 0.250, 0.375), As at (0.000, 0.250, 0.875) and Pd at (0.000, 0.000, 0.000).

---

## MnCuAs4 (GGA-PBEsol)

Data for a geometry-optimized MnCuAs4 structure.

As for the energy of formation: 686 meV/atom.

It has space group F-43m (No. 216), with a = 7.618 Å, b = 7.618 Å, c = 7.618 Å, α = 90.00°, β = 90.00° and γ = 90.00°. The distinct sites, in fractional coordinates, are Mn at (0.000, 0.000, 0.000), Cu at (0.250, 0.250, 0.250) and As at (0.124, 0.124, 0.624).

---

no.,Fermi-level density of states (states/eV/atom),spin magnetization (μB per atom)
1,0.31,0.08
2,0.47,0.00
3,0.51,0.74